Record 1
Density functional theory data (GGA-PBE) for K4CeSm3Te8 after structural relaxation.

Geometry as CIF:
```
data_K4CeSm3Te8
_cell_length_a 9.1937
_cell_length_b 9.1937
_cell_length_c 24.7533
_cell_angle_alpha 90.00
_cell_angle_beta 90.00
_cell_angle_gamma 120.00
_space_group_name_H-M_alt 'R -3 m'
_space_group_IT_number 166
_space_group_name_Hall '-R 3 2"'
loop_
_atom_site_label
_atom_site_fract_x
_atom_site_fract_y
_atom_site_fract_z
K1 0.0000 0.0000 0.0000
K2 0.0000 0.5000 0.0000
Ce1 0.0000 0.0000 0.5000
Sm1 0.0000 0.5000 0.5000
Te1 0.0000 0.0000 0.2373
Te2 0.0035 0.5018 0.7623
```

Record 2
Density functional theory data (GGA-PBE) for Ac4RhI2Br after structural relaxation.

Geometry as CIF:
```
data_Ac4RhI2Br
_cell_length_a 8.2068
_cell_length_b 4.3886
_cell_length_c 8.7971
_cell_angle_alpha 90.00
_cell_angle_beta 106.86
_cell_angle_gamma 90.00
_space_group_name_H-M_alt 'P 1 2/m 1'
_space_group_IT_number 10
loop_
_space_group_symop_operation_xyz
'x,y,z'
'-x,-y,-z'
'-x,y,-z'
'x,-y,z'
loop_
_atom_site_label
_atom_site_fract_x
_atom_site_fract_y
_atom_site_fract_z
Ac1 0.1988 0.0000 0.1933
Ac2 0.2348 0.5000 0.7966
Rh1 0.0000 0.5000 0.0000
I1 0.0000 0.0000 0.5000
I2 0.5000 0.5000 0.5000
Br1 0.5000 0.0000 0.0000
```

Record 3
Density functional theory data (GGA-PBE) for KSc2Pd2 after structural relaxation.

Geometry as CIF:
```
data_KSc2Pd2
_cell_length_a 4.8221
_cell_length_b 4.8221
_cell_length_c 11.5454
_cell_angle_alpha 90.00
_cell_angle_beta 90.00
_cell_angle_gamma 90.00
_space_group_name_H-M_alt 'I 4/m m m'
_space_group_IT_number 139
_space_group_name_Hall '-I 4 2'
loop_
_atom_site_label
_atom_site_fract_x
_atom_site_fract_y
_atom_site_fract_z
K1 0.0000 0.0000 0.0000
Sc1 0.0000 0.0000 0.3462
Pd1 0.0000 0.5000 0.2500
```

Summary:
**Formation energy from the elements**: -0.838 eV per formula unit

Record 4
Density functional theory data (GGA-PBE) for HoThAl2Zn2 after structural relaxation.

Geometry as CIF:
```
data_HoThAl2Zn2
_cell_length_a 4.4818
_cell_length_b 4.4818
_cell_length_c 7.3984
_cell_angle_alpha 90.00
_cell_angle_beta 90.00
_cell_angle_gamma 120.00
_space_group_name_H-M_alt 'P -3 m 1'
_space_group_IT_number 164
_space_group_name_Hall '-P 3 2"'
loop_
_atom_site_label
_atom_site_fract_x
_atom_site_fract_y
_atom_site_fract_z
Ho1 0.0000 0.0000 0.0000
Th1 0.0000 0.0000 0.5000
Al1 0.3333 0.6667 0.2340
Zn1 0.3333 0.6667 0.7736
```

Summary:
**Formation energy from the elements**: -2.493 eV per formula unit

Record 5
Density functional theory data (GGA-PBE) for VHgSbTe2 after structural relaxation.

Geometry as CIF:
```
data_VHgSbTe2
_cell_length_a 5.1970
_cell_length_b 5.1970
_cell_length_c 5.2964
_cell_angle_alpha 90.00
_cell_angle_beta 90.00
_cell_angle_gamma 90.00
_space_group_name_H-M_alt 'P 4/m m m'
_space_group_IT_number 123
_space_group_name_Hall '-P 4 2'
loop_
_atom_site_label
_atom_site_fract_x
_atom_site_fract_y
_atom_site_fract_z
V1 0.0000 0.0000 0.0000
Hg1 0.5000 0.5000 0.5000
Sb1 0.0000 0.0000 0.5000
Te1 0.0000 0.5000 0.0000
```

Summary:
**Relative energy among the computed polymorphs**: 0 meV/atom

Record 6
Density functional theory data (GGA-PBE) for Sc2Si3Ni5 after structural relaxation.

Geometry as CIF:
```
data_Sc2Si3Ni5
_cell_length_a 3.8919
_cell_length_b 22.0260
_cell_length_c 6.1813
_cell_angle_alpha 90.00
_cell_angle_beta 90.00
_cell_angle_gamma 90.00
_space_group_name_H-M_alt 'C m c 21'
_space_group_IT_number 36
loop_
_space_group_symop_operation_xyz
'x,y,z'
'-x,-y,z+1/2'
'-x,y,z'
'x,-y,z+1/2'
'x+1/2,y+1/2,z'
'-x+1/2,-y+1/2,z+1/2'
'-x+1/2,y+1/2,z'
'x+1/2,-y+1/2,z+1/2'
loop_
_atom_site_label
_atom_site_fract_x
_atom_site_fract_y
_atom_site_fract_z
Sc1 0.0000 0.0222 0.0000
Sc2 0.0000 0.3243 0.9377
Si1 0.0000 0.1226 0.7586
Si2 0.0000 0.2758 0.3819
Si3 0.0000 0.4522 0.7926
Ni1 0.0000 0.0971 0.3843
Ni2 0.0000 0.1983 0.0976
Ni3 0.0000 0.2248 0.6901
Ni4 0.0000 0.3780 0.5072
Ni5 0.0000 0.4417 0.1654
```

So what do the calculations give for mass density? Going down the list: 4.86; 7.36; 4.23; 7.51; 7.30; 5.86 Mg/m³.
So what do the calculations give for E_tot? Going down the list: -215.72; -36.47; -49.97; -24.52; -18.86; -259.48 eV per cell.